(1)
A plane-wave DFT calculation with PBE was carried out for a geometry-optimized Be5Ni6H structure.

a = 3.6555 Å, b = 5.1825 Å, c = 5.7560 Å
α = 90.00°, β = 108.39°, γ = 90.00°
Element x y z (fractional)
Be (0.0000, 0.0000, 0.0000)
Be (0.3264, 0.5000, 0.6519)
Be (0.3315, 0.0000, 0.6619)
Be (0.6685, 0.0000, 0.3381)
Be (0.6736, 0.5000, 0.3481)
Ni (0.1617, 0.2537, 0.3241)
Ni (0.1617, 0.7463, 0.3241)
Ni (0.5000, 0.2601, 0.0000)
Ni (0.5000, 0.7399, 0.0000)
Ni (0.8383, 0.2537, 0.6759)
Ni (0.8383, 0.7463, 0.6759)
H (0.0000, 0.5000, 0.0000)

Properties
Fermi-level density of states = 3.0 states/eV/cell
electronic total energy = -0.1843 Ha/atom
total magnetic moment = 0.000 μB/cell
crystal system = monoclinic

(2)
A plane-wave DFT calculation with PBE was carried out for a geometry-optimized RbLi2Os structure.

a = 4.9564 Å, b = 4.9564 Å, c = 4.9564 Å
α = 60.00°, β = 60.00°, γ = 60.00°
Element x y z (fractional)
Rb (0.0000, 0.0000, 0.0000)
Li (0.2500, 0.2500, 0.2500)
Li (0.7500, 0.7500, 0.7500)
Os (0.5000, 0.5000, 0.5000)

Properties
Fermi-level density of states = 3.1 states/eV/cell
formation energy from the elements = 1.128 eV/atom
electronic total energy = -0.1058 Ha/atom
total magnetic moment = 1.372 μB/cell
crystal system = cubic
energy relative to the lowest polymorph listed for this composition = 0.00 kcal/mol of atoms

> Among the records above, which one has the lowest Fermi-level density of states?

Be5Ni6H

> What is the formula in the second record?

RbLi2Os

> Look up the total magnetic moment of the second one.

1.372 μB/cell